[1]
# Tm4Te2PPt (PBE, relaxed)
# Uncorrected formation energy = -1036 kJ/mol of formula units
data_Tm4Te2PPt
_space_group_name_H-M_alt 'P 1 2/m 1'
_space_group_IT_number 10
_cell_length_a 7.2959
_cell_length_b 4.0785
_cell_length_c 7.3232
_cell_angle_alpha 90.00
_cell_angle_beta 108.68
_cell_angle_gamma 90.00
loop_
_space_group_symop_operation_xyz
'x,y,z'
'-x,-y,-z'
'-x,y,-z'
'x,-y,z'
loop_
_atom_site_label
_atom_site_fract_x
_atom_site_fract_y
_atom_site_fract_z
Tm1 0.2344 0.0000 0.2055
Tm2 0.2661 0.5000 0.7886
Te1 0.0000 0.0000 0.5000
Te2 0.5000 0.5000 0.5000
P1 0.5000 0.0000 0.0000
Pt1 0.0000 0.5000 0.0000


[2]
# Ce4Pt5 (PBE, relaxed)
# ΔE_f = -0.967 eV/atom
data_Ce4Pt5
_space_group_name_H-M_alt 'P -1'
_space_group_IT_number 2
_cell_length_a 5.5512
_cell_length_b 5.9699
_cell_length_c 6.6636
_cell_angle_alpha 101.74
_cell_angle_beta 98.15
_cell_angle_gamma 101.42
loop_
_space_group_symop_operation_xyz
'x,y,z'
'-x,-y,-z'
loop_
_atom_site_label
_atom_site_fract_x
_atom_site_fract_y
_atom_site_fract_z
Ce1 0.0768 0.4378 0.2238
Ce2 0.3173 0.1032 0.6750
Pt1 0.1517 0.9492 0.1893
Pt2 0.3939 0.6462 0.6397
Pt3 0.5000 0.5000 0.0000


[3]
# NdPd3Se4 (PBE, relaxed)
# Uncorrected formation energy = -622 kJ/mol of formula units
data_NdPd3Se4
_space_group_name_H-M_alt 'P m -3 n'
_space_group_IT_number 223
_space_group_name_Hall '-P 4n 2 3'
_cell_length_a 7.0920
_cell_length_b 7.0920
_cell_length_c 7.0920
_cell_angle_alpha 90.00
_cell_angle_beta 90.00
_cell_angle_gamma 90.00
loop_
_atom_site_label
_atom_site_fract_x
_atom_site_fract_y
_atom_site_fract_z
Nd1 0.0000 0.0000 0.0000
Pd1 0.0000 0.2500 0.5000
Se1 0.2500 0.2500 0.2500


[4]
# LaMg5Tl2 (PBE, relaxed)
# ΔE_f = -0.141 eV/atom
data_LaMg5Tl2
_space_group_name_H-M_alt 'I m m m'
_space_group_IT_number 71
_space_group_name_Hall '-I 2 2'
_cell_length_a 4.5363
_cell_length_b 8.5295
_cell_length_c 10.7979
_cell_angle_alpha 90.00
_cell_angle_beta 90.00
_cell_angle_gamma 90.00
loop_
_atom_site_label
_atom_site_fract_x
_atom_site_fract_y
_atom_site_fract_z
La1 0.0000 0.0000 0.0000
Mg1 0.0000 0.1805 0.3537
Mg2 0.0000 0.5000 0.0000
Tl1 0.0000 0.5000 0.2710


[5]
# NaLa2YPt (PBE, relaxed)
# ΔE_f = -0.324 eV/atom
data_NaLa2YPt
_space_group_name_H-M_alt 'P 4/m m m'
_space_group_IT_number 123
_space_group_name_Hall '-P 4 2'
_cell_length_a 5.7415
_cell_length_b 5.7415
_cell_length_c 5.6636
_cell_angle_alpha 90.00
_cell_angle_beta 90.00
_cell_angle_gamma 90.00
loop_
_atom_site_label
_atom_site_fract_x
_atom_site_fract_y
_atom_site_fract_z
Na1 0.0000 0.0000 0.0000
La1 0.0000 0.5000 0.5000
Y1 0.5000 0.5000 0.0000
Pt1 0.5000 0.5000 0.5000


[6]
# Ti8SbS2 (PBE, relaxed)
# Uncorrected formation energy = -542 kJ/mol of formula units
data_Ti8SbS2
_space_group_name_H-M_alt 'C 1 2/m 1'
_space_group_IT_number 12
_cell_length_a 14.9562
_cell_length_b 5.3022
_cell_length_c 4.8523
_cell_angle_alpha 90.00
_cell_angle_beta 108.84
_cell_angle_gamma 90.00
loop_
_space_group_symop_operation_xyz
'x,y,z'
'-x,-y,-z'
'-x,y,-z'
'x,-y,z'
'x+1/2,y+1/2,z'
'-x+1/2,-y+1/2,-z'
'-x+1/2,y+1/2,-z'
'x+1/2,-y+1/2,z'
loop_
_atom_site_label
_atom_site_fract_x
_atom_site_fract_y
_atom_site_fract_z
Ti1 0.0941 0.2484 0.0950
Ti2 0.1006 0.0000 0.6014
Ti3 0.2248 0.5000 0.7251
Sb1 0.0000 0.5000 0.5000
S1 0.2353 0.5000 0.2356


V across the listed records, respectively: 206.4; 208.1; 178.4; 208.9; 186.7; 182.1 Å³/f.u..